DFT (PBE) results for a geometry-optimized ScCdIn4O8 structure.

Calculated values
Total magnetic moment = 0.00 μB per formula unit
Density of states at the Fermi level = 0.1254 states/eV per atom
Volume = 14.39 A^3/atom
Uncorrected energy = -5.91 eV per atom
ΔE_f (raw) = -1.773 eV per atom

Lattice parameters (Å, degrees): 6.566 6.566 6.566 60.29 60.29 60.29
Atoms (fractional coordinates):
1 Sc 0.000 0.000 0.000
2 Cd 0.373 0.373 0.373
3 In 0.496 0.998 0.998
4 In 0.623 0.623 0.623
5 In 0.998 0.496 0.998
6 In 0.998 0.998 0.496
7 O 0.214 0.763 0.763
8 O 0.228 0.228 0.789
9 O 0.228 0.789 0.228
10 O 0.233 0.233 0.233
11 O 0.759 0.759 0.759
12 O 0.763 0.214 0.763
13 O 0.763 0.763 0.214
14 O 0.789 0.228 0.228